1.
VASP calculation (PBE-GGA) on an optimized crystal structure of LiGaIrCl2.

Values from the calculation:
The mass density comes out at 4.88 g cm⁻³. The calculated total energy is -3.138 eV/atom.

Unit cell a=4.137 b=6.753 c=4.137 alpha=90.00 beta=90.00 gamma=90.00
Fractional positions:
Li 0.000 0.000 0.000
Cl 0.000 0.000 0.500
Ir 0.500 0.500 0.500
Ga 0.000 0.500 0.000
Cl 0.500 0.000 0.000

=====

2.
VASP calculation (PBE-GGA) on an optimized crystal structure of MnGaIr2Cl.

Values from the calculation:
The mass density comes out at 8.87 g cm⁻³. The calculated total energy is -5.261 eV/atom. The polymorph energy (0 for the lowest one) comes out at 0.0 meV per atom.

Unit cell a=4.529 b=4.973 c=4.529 alpha=90.00 beta=90.00 gamma=90.00
Fractional positions:
Cl 0.500 0.500 0.500
Ga 0.000 0.500 0.000
Ir 0.500 0.000 0.000
Mn 0.000 0.000 0.000
Ir 0.000 0.000 0.500